1.
VASP calculation (PBE) on crystalline MoOs at its relaxed geometry.

```
12
Lattice="6.931 0.000 0.000 0.000 6.931 0.000 0.000 0.000 6.931" Properties=species:S:1:pos:R:3 pbc="T T T"
Mo 0.000 1.733 3.466
Mo 0.000 5.198 3.466
Mo 1.733 3.466 0.000
Mo 3.466 0.000 1.733
Mo 3.466 0.000 5.198
Mo 5.198 3.466 0.000
Os 0.000 3.466 1.733
Os 0.000 3.466 5.198
Os 1.733 0.000 3.466
Os 3.466 1.733 0.000
Os 3.466 5.198 0.000
Os 5.198 0.000 3.466
```

Properties
D(E_F) = 1.998 states/eV/atom
Theoretical density = 8563 kg/m³
ΔE_f = 1.818 eV/atom
V = 27.75 A^3/atom
Electronic total energy = -110.54 eV per cell

***

2.
VASP calculation (PBE) on crystalline TlAgTe2Pb at its relaxed geometry.

```
10
Lattice="8.551 -2.321 0.000 8.551 2.321 0.000 -1.763 0.000 8.602" Properties=species:S:1:pos:R:3 pbc="T T T"
Tl 3.376 0.000 2.661
Tl 11.963 0.000 5.942
Ag 1.737 0.000 7.960
Ag 13.601 0.000 0.642
Te 0.923 0.000 5.168
Te 4.693 0.000 8.159
Te 10.645 0.000 0.444
Te 14.416 0.000 3.434
Pb 7.710 0.000 2.391
Pb 7.628 0.000 6.211
```

Properties
Formation energy without anion corrections = -0.22 eV/atom
D(E_F) = 0.003 states/eV/atom
Theoretical density = 7536 kg/m³
V = 34.14 A^3/atom
Electronic total energy = -32.65 eV per cell
Excess energy over the best structure of this formula in the dataset = 0 meV per atom

***

3.
VASP calculation (PBE) on crystalline LiEuPuAu at its relaxed geometry.

```
4
Lattice="0.000 3.694 3.694 3.694 0.000 3.694 3.694 3.694 0.000" Properties=species:S:1:pos:R:3 pbc="T T T"
Li 0.000 0.000 0.000
Eu 1.847 1.847 1.847
Pu 5.541 5.541 5.541
Au 3.694 3.694 3.694
```

Properties
D(E_F) = 2.912 states/eV/atom
Theoretical density = 9881 kg/m³
ΔE_f = -0.137 eV/atom
V = 25.20 A^3/atom
Electronic total energy = -30.35 eV per cell

***

4.
VASP calculation (PBE) on crystalline AcTc2N4 at its relaxed geometry.

```
14
Lattice="2.624 -4.698 0.000 2.624 4.698 0.000 0.000 0.000 9.126" Properties=species:S:1:pos:R:3 pbc="T T T"
Ac 0.000 0.000 2.282
Ac 0.000 0.000 6.845
Tc 2.619 2.188 0.000
Tc 2.629 2.188 4.563
Tc 2.619 -2.188 4.563
Tc 2.629 -2.188 0.000
N 1.312 2.349 3.155
N 1.312 2.349 5.971
N 1.139 0.930 0.000
N 1.139 -0.930 4.563
N 1.312 -2.349 1.408
N 1.312 -2.349 7.718
N 4.109 0.930 4.563
N 4.109 -0.930 0.000
```

Properties
Formation energy without anion corrections = -0.39 eV/atom
D(E_F) = 0.354 states/eV/atom
Theoretical density = 7071 kg/m³
V = 16.07 A^3/atom
Electronic total energy = -121.69 eV per cell

***

5.
VASP calculation (PBE) on crystalline AcMgSi2Pd2 at its relaxed geometry.

```
6
Lattice="4.328 0.000 0.000 -2.164 3.748 0.000 0.000 0.000 7.339" Properties=species:S:1:pos:R:3 pbc="T T T"
Ac 0.000 0.000 0.000
Mg 0.000 0.000 3.670
Si 0.000 2.499 2.159
Si 2.164 1.249 5.180
Pd 0.000 2.499 4.837
Pd 2.164 1.249 2.502
```

Properties
Formation energy without anion corrections = -0.76 eV/atom
D(E_F) = 0.388 states/eV/atom
Theoretical density = 7256 kg/m³
V = 19.84 A^3/atom
Electronic total energy = -31.48 eV per cell

***

6.
VASP calculation (PBE) on crystalline Sm2RhSe at its relaxed geometry.

```
4
Lattice="3.503 -2.019 0.000 3.503 2.019 0.000 -2.319 0.000 7.216" Properties=species:S:1:pos:R:3 pbc="T T T"
Sm 1.173 0.000 1.655
Sm 3.515 0.000 5.561
Rh 3.503 0.000 0.000
Se -1.159 0.000 3.608
```

Properties
Formation energy without anion corrections = -1.21 eV/atom
D(E_F) = 0.559 states/eV/atom
Theoretical density = 7852 kg/m³
V = 25.52 A^3/atom
Electronic total energy = -25.13 eV per cell
Excess energy over the best structure of this formula in the dataset = 46 meV per atom

***

7.
VASP calculation (PBE) on crystalline LiErSc2Au4 at its relaxed geometry.

```
8
Lattice="2.384 1.376 8.006 -2.384 1.376 8.006 0.000 -2.753 8.006" Properties=species:S:1:pos:R:3 pbc="T T T"
Li 0.000 0.000 0.000
Er 0.000 0.000 12.009
Sc 0.000 0.000 6.165
Sc 0.000 0.000 17.854
Au 0.000 0.000 2.777
Au 0.000 0.000 9.031
Au 0.000 0.000 14.988
Au 0.000 0.000 21.242
```

Properties
D(E_F) = 0.578 states/eV/atom
Theoretical density = 11083 kg/m³
ΔE_f = -0.747 eV/atom
V = 19.70 A^3/atom
Electronic total energy = -38.22 eV per cell

***

8.
VASP calculation (PBE) on crystalline Cu2WAu at its relaxed geometry.

```
4
Lattice="0.000 3.090 3.090 3.090 0.000 3.090 3.090 3.090 0.000" Properties=species:S:1:pos:R:3 pbc="T T T"
Cu 0.000 0.000 0.000
Cu 1.545 1.545 1.545
W 3.090 3.090 3.090
Au 4.635 4.635 4.635
```

Properties
D(E_F) = 0.780 states/eV/atom
Theoretical density = 14295 kg/m³
ΔE_f = 0.505 eV/atom
V = 14.75 A^3/atom
Electronic total energy = -22.40 eV per cell
Excess energy over the best structure of this formula in the dataset = 311 meV per atom

***

9.
VASP calculation (PBE) on crystalline La6In2Ag at its relaxed geometry.

```
9
Lattice="3.817 0.000 0.000 0.000 8.083 4.669 0.000 -8.083 4.669" Properties=species:S:1:pos:R:3 pbc="T T T"
La 0.000 0.000 0.000
La 0.000 -2.195 5.525
La 0.000 2.195 5.525
La 1.909 -4.901 3.966
La 1.909 0.000 3.114
La 1.909 4.901 3.966
In 0.000 -2.697 2.127
In 0.000 2.697 2.127
Ag 1.909 0.000 6.799
```

Properties
D(E_F) = 1.404 states/eV/atom
Theoretical density = 6749 kg/m³
ΔE_f = -0.288 eV/atom
V = 32.01 A^3/atom
Electronic total energy = -40.48 eV per cell
Excess energy over the best structure of this formula in the dataset = 0 meV per atom

***

10.
VASP calculation (PBE) on crystalline CsAlSe3 at its relaxed geometry.

```
5
Lattice="5.156 0.000 0.000 0.000 5.156 0.000 0.000 0.000 5.156" Properties=species:S:1:pos:R:3 pbc="T T T"
Cs 0.000 0.000 0.000
Al 2.578 2.578 2.578
Se 0.000 2.578 2.578
Se 2.578 0.000 2.578
Se 2.578 2.578 0.000
```

Properties
Formation energy without anion corrections = -0.50 eV/atom
D(E_F) = 1.112 states/eV/atom
Theoretical density = 4806 kg/m³
V = 27.42 A^3/atom
Electronic total energy = -17.54 eV per cell
Excess energy over the best structure of this formula in the dataset = 443 meV per atom

***

11.
VASP calculation (PBE) on crystalline Tb3Hg2Pd at its relaxed geometry.

```
6
Lattice="3.663 0.000 0.000 0.000 3.663 0.000 0.000 0.000 11.000" Properties=species:S:1:pos:R:3 pbc="T T T"
Tb 0.000 0.000 0.000
Tb 0.000 0.000 3.824
Tb 0.000 0.000 7.176
Hg 1.831 1.831 1.875
Hg 1.831 1.831 9.125
Pd 1.831 1.831 5.500
```

Properties
D(E_F) = 0.710 states/eV/atom
Theoretical density = 11076 kg/m³
ΔE_f = -0.611 eV/atom
V = 24.60 A^3/atom
Electronic total energy = -23.35 eV per cell

***

12.
VASP calculation (PBE) on crystalline Ca3MgPb2 at its relaxed geometry.

```
6
Lattice="3.850 0.000 0.000 0.000 3.850 0.000 0.000 0.000 12.284" Properties=species:S:1:pos:R:3 pbc="T T T"
Ca 0.000 0.000 0.000
Ca 0.000 0.000 4.142
Ca 0.000 0.000 8.141
Mg 1.925 1.925 6.142
Pb 1.925 1.925 2.158
Pb 1.925 1.925 10.126
```

Properties
D(E_F) = 0.403 states/eV/atom
Theoretical density = 5097 kg/m³
ΔE_f = -0.399 eV/atom
V = 30.35 A^3/atom
Electronic total energy = -17.41 eV per cell
Excess energy over the best structure of this formula in the dataset = 43 meV per atom

***

13.
VASP calculation (PBE) on crystalline TiTlAg3 at its relaxed geometry.

```
5
Lattice="5.156 0.000 0.000 0.000 5.156 0.000 0.000 0.000 5.156" Properties=species:S:1:pos:R:3 pbc="T T T"
Ti 0.000 0.000 0.000
Tl 2.578 2.578 2.578
Ag 0.000 2.578 2.578
Ag 2.578 0.000 2.578
Ag 2.578 2.578 0.000
```

Properties
D(E_F) = 1.763 states/eV/atom
Theoretical density = 6975 kg/m³
ΔE_f = 1.129 eV/atom
V = 27.42 A^3/atom
Electronic total energy = -13.17 eV per cell
Excess energy over the best structure of this formula in the dataset = 270 meV per atom

***

14.
VASP calculation (PBE) on crystalline Mg3Si4Pt2 at its relaxed geometry.

```
9
Lattice="4.743 -2.055 0.000 4.743 2.055 0.000 -2.419 0.000 7.926" Properties=species:S:1:pos:R:3 pbc="T T T"
Mg 0.000 0.000 0.000
Mg 2.738 0.000 2.439
Mg 4.329 0.000 5.488
Si -0.097 0.000 3.470
Si 0.389 0.000 7.461
Si 6.678 0.000 0.465
Si 7.164 0.000 4.456
Pt 1.579 0.000 5.420
Pt 5.488 0.000 2.506
```

Properties
Formation energy without anion corrections = -0.46 eV/atom
D(E_F) = 0.253 states/eV/atom
Theoretical density = 6184 kg/m³
V = 17.17 A^3/atom
Electronic total energy = -42.67 eV per cell

***

15.
VASP calculation (PBE) on crystalline Cd2Hg3 at its relaxed geometry.

```
5
Lattice="5.210 0.000 0.000 -2.605 4.512 0.000 0.000 0.000 5.871" Properties=species:S:1:pos:R:3 pbc="T T T"
Cd 0.000 3.008 2.238
Cd 2.605 1.504 3.632
Hg 0.000 0.000 2.935
Hg 0.000 3.008 5.205
Hg 2.605 1.504 0.665
```

Properties
D(E_F) = 0.424 states/eV/atom
Theoretical density = 9947 kg/m³
ΔE_f = 0.046 eV/atom
V = 27.60 A^3/atom
Electronic total energy = -2.51 eV per cell
Excess energy over the best structure of this formula in the dataset = 22 meV per atom

***

16.
VASP calculation (PBE) on crystalline Tb4CoCCl2 at its relaxed geometry.

```
8
Lattice="6.783 0.000 0.000 0.000 3.704 0.000 -2.137 0.000 7.028" Properties=species:S:1:pos:R:3 pbc="T T T"
Tb 1.073 0.000 1.313
Tb 0.039 1.852 5.675
Tb 4.607 1.852 1.353
Tb 3.573 0.000 5.716
Co 3.391 0.000 0.000
C 0.000 1.852 0.000
Cl -1.068 0.000 3.514
Cl 2.323 1.852 3.514
```

Properties
Formation energy without anion corrections = -0.89 eV/atom
D(E_F) = 0.760 states/eV/atom
Theoretical density = 7312 kg/m³
V = 22.07 A^3/atom
Electronic total energy = -45.69 eV per cell

***

17.
VASP calculation (PBE) on crystalline Cs2KMnS4 at its relaxed geometry.

```
16
Lattice="0.000 6.616 13.280 3.580 0.000 13.280 3.580 6.616 0.000" Properties=species:S:1:pos:R:3 pbc="T T T"
Cs 2.685 4.962 1.621
Cs 4.475 8.270 8.261
Cs 2.685 4.962 18.299
Cs 4.475 8.270 24.938
K 0.895 1.654 3.320
K 6.265 11.578 23.240
Mn 2.685 4.962 9.960
Mn 4.475 8.270 16.600
S 3.859 3.703 8.716
S 3.859 6.221 11.204
S 5.649 7.011 17.844
S 1.511 3.703 11.204
S 5.649 9.529 15.356
S 1.511 6.221 8.716
S 3.301 7.011 15.356
S 3.301 9.529 17.844
```

Properties
Formation energy without anion corrections = -0.81 eV/atom
Theoretical density = 2577 kg/m³
V = 39.32 A^3/atom
Electronic total energy = -69.98 eV per cell